A plane-wave DFT calculation with PBE-GGA was carried out for a geometry-optimized Ba2CuHAu structure.

Computed properties:
- size of the total moment (μB/cell) = 0.00
- calculated total energy (eV per atom) = -3.2331
- volume (Å³/atom) = 25.41

Lattice parameters (Å, degrees): 5.699 5.699 3.912 90.00 90.00 90.00
Fractional positions:
H: 0.000 0.000 0.000
Au: 0.500 0.500 0.500
Ba: 0.000 0.500 0.000
Ba: 0.500 0.000 0.000
Cu: 0.000 0.000 0.500